Compound: Ta2BeAu
Source: Alexandria via LeMat-Bulk
Functional: PBE
Structure: relaxed

The space group is C2/m (No. 12) and the conventional cell measures 5.6157, 8.0006 and 2.8784 Å, with angles of 90.00, 90.15 and 90.00 degrees. The inequivalent atoms are Ta at (0.2500, 0.2500, 0.0000), Be at (0.0000, 0.0000, 0.5000) and Au at (0.0000, 0.5000, 0.5000).

The formation energy comes out at 0.11 eV/atom. The calculation puts the uncorrected energy at -7.57 eV/atom.